Here is an optimized crystal structure of Co4NiRh from the Alexandria database. Energies are from GGA-PBE.

**Fermi-level density of states**: 12.5 states/eV/cell
**M_tot**: 17.16 Bohr magnetons per cell
**Energy of formation**: 0.23 eV/atom
**Energy above the lowest structure with this stoichiometry**: 0.1957 eV/atom
**Symmetry**: C2/m, No. 12

Structure (POSCAR):
```
Co4NiRh
1.0
4.364 0.000 -0.002
0.000 6.359 0.000
-1.279 -3.179 5.283
Co Rh Ni
8 2 2
direct
0.557 0.930 0.239
0.000 0.817 0.000
0.690 0.325 0.650
0.443 0.070 0.761
0.557 0.309 0.239
0.310 0.675 0.350
0.000 0.183 0.000
0.443 0.691 0.761
0.885 0.790 0.581
0.115 0.210 0.419
0.225 0.450 0.900
0.775 0.550 0.100
```